# 1
Compound: RbBa2YI8
Source: Alexandria via LeMat-Bulk
Functional: PBE
Structure: optimized geometry

```
12
Lattice="7.619 0.000 0.000 -0.039 7.898 0.000 -0.008 -0.002 10.536" Properties=species:S:1:pos:R:3 pbc="T T T"
Rb 0.000 0.000 0.000
Ba 3.790 3.949 2.702
Ba 3.781 3.947 7.834
Y -0.004 -0.001 5.268
I 1.726 6.747 3.084
I 1.752 2.572 5.264
I 1.728 6.753 7.454
I 1.869 3.084 0.000
I 5.703 4.812 10.536
I 5.844 1.143 3.082
I 5.820 5.324 5.272
I 5.846 1.149 7.452
```

## Properties
As for the uncorrected formation energy: -1.571 eV per atom. As for the final energy: -3.5438 eV/atom.



# 2
Compound: Sr2CrTeC
Source: Alexandria via LeMat-Bulk
Functional: PBE
Structure: optimized geometry

```
5
Lattice="5.600 0.000 0.000 0.000 5.600 0.000 0.000 0.000 4.056" Properties=species:S:1:pos:R:3 pbc="T T T"
Sr 0.000 2.800 0.000
Sr 2.800 0.000 0.000
Cr 0.000 0.000 2.028
Te 2.800 2.800 2.028
C 0.000 0.000 0.000
```

## Properties
As for the uncorrected formation energy: -0.338 eV per atom. As for the final energy: -5.4086 eV/atom.



# 3
Compound: Li2GeS3
Source: Alexandria via LeMat-Bulk
Functional: PBE
Structure: optimized geometry

```
6
Lattice="-1.869 5.810 2.857 1.869 -5.810 2.857 1.869 5.810 -2.857" Properties=species:S:1:pos:R:3 pbc="T T T"
Li 0.000 1.937 0.000
Li 0.000 9.682 0.000
Ge 0.000 5.810 0.221
S 0.000 0.000 1.625
S 0.000 3.953 1.360
S 0.000 7.667 1.360
```

## Properties
As for the uncorrected formation energy: -0.879 eV per atom. As for the energy above the most stable polymorph in this dataset: 0.016 eV per atom. As for the final energy: -4.3505 eV/atom.



# 4
Compound: ScAsW2
Source: Alexandria via LeMat-Bulk
Functional: PBE
Structure: optimized geometry

```
4
Lattice="3.273 0.000 0.000 0.000 3.273 0.000 0.000 0.000 6.508" Properties=species:S:1:pos:R:3 pbc="T T T"
Sc 0.000 0.000 0.000
As 1.636 1.636 4.668
W 0.000 0.000 3.284
W 1.636 1.636 1.824
```

## Properties
As for the final energy: -9.2733 eV/atom.



# 5
Compound: Be3CuAs
Source: Alexandria via LeMat-Bulk
Functional: PBE
Structure: optimized geometry

```
5
Lattice="4.079 0.000 0.000 0.000 4.079 0.000 0.000 0.000 4.079" Properties=species:S:1:pos:R:3 pbc="T T T"
Be 0.000 0.000 2.040
Be 0.000 2.040 0.000
Be 2.040 0.000 0.000
Cu 0.000 0.000 0.000
As 2.040 2.040 2.040
```

## Properties
As for the energy above the most stable polymorph in this dataset: 0.000 eV per atom. As for the final energy: -3.2930 eV/atom.



# 6
Compound: ZrSiSn2
Source: Alexandria via LeMat-Bulk
Functional: PBE
Structure: optimized geometry

```
8
Lattice="-3.993 3.993 2.887 3.993 -3.993 2.887 3.993 3.993 -2.887" Properties=species:S:1:pos:R:3 pbc="T T T"
Zr 0.000 0.000 0.000
Zr 0.000 3.993 1.444
Si 3.993 0.000 1.444
Si 0.000 0.000 2.887
Sn 1.996 -1.768 2.166
Sn 2.225 1.996 0.722
Sn 1.996 5.761 -0.722
Sn 1.768 1.996 3.609
```

## Properties
As for the uncorrected formation energy: 0.122 eV per atom. As for the final energy: -5.3724 eV/atom.



# 7
Compound: CrPt2Cl2
Source: Alexandria via LeMat-Bulk
Functional: PBE
Structure: optimized geometry

```
5
Lattice="-2.533 2.533 3.694 2.533 -2.533 3.694 2.533 2.533 -3.694" Properties=species:S:1:pos:R:3 pbc="T T T"
Cr 0.000 0.000 0.000
Pt 2.533 0.000 1.847
Pt 0.000 2.533 1.847
Cl 0.000 0.000 2.229
Cl 0.000 0.000 5.159
```

## Properties
As for the uncorrected formation energy: 0.536 eV per atom. As for the energy above the most stable polymorph in this dataset: 0.283 eV per atom. As for the final energy: -4.5438 eV/atom.



# 8
Compound: YPuU2S4
Source: Alexandria via LeMat-Bulk
Functional: PBE
Structure: optimized geometry

```
8
Lattice="6.621 0.000 0.000 0.000 3.820 0.000 -2.204 0.000 6.604" Properties=species:S:1:pos:R:3 pbc="T T T"
Y 0.000 0.000 0.000
Pu 3.310 1.910 0.000
U -1.102 1.910 3.302
U 2.208 0.000 3.302
S -0.003 0.000 4.956
S 1.095 1.910 1.651
S 4.420 0.000 1.648
S 3.322 1.910 4.953
```

## Properties
As for the uncorrected formation energy: -1.622 eV per atom. As for the final energy: -9.1071 eV/atom.



Number 1: mass density 3.84 g/cm3. Number 2: mass density 4.79 g/cm3. Number 3: mass density 2.44 g/cm3. Number 4: mass density 11.62 g/cm3. Number 5: mass density 4.05 g/cm3. Number 6: mass density 6.43 g/cm3. Number 7: mass density 8.98 g/cm3. Number 8: mass density 9.32 g/cm3.